Entry a
{"formula": "LiOsC3", "functional": "GGA-PBE", "state": "optimized geometry", "crystal_system": "cubic", "spacegroup": "Pm-3m", "magnetic_moment_mub_per_fu": 0.00, "cell": [[3.982, 0.000, 0.000], [0.000, 3.982, 0.000], [0.000, 0.000, 3.982]], "species": ["Li", "Os", "C", "C", "C"], "frac_coords": [[0.000, 0.000, 0.000], [0.500, 0.500, 0.500], [0.000, 0.500, 0.500], [0.500, 0.000, 0.500], [0.500, 0.500, 0.000]]}

Entry b
{"formula": "LiOsC3", "functional": "GGA-PBE", "state": "optimized geometry", "crystal_system": "cubic", "spacegroup": "Pm-3m", "magnetic_moment_mub_per_fu": 0.00, "cell": [[3.546, 0.000, 0.000], [0.000, 3.546, 0.000], [0.000, 0.000, 3.546]], "species": ["Li", "Os", "C", "C", "C"], "frac_coords": [[0.000, 0.000, 0.000], [0.500, 0.500, 0.500], [0.000, 0.000, 0.500], [0.000, 0.500, 0.000], [0.500, 0.000, 0.000]]}

Which one sits at the top of the stability order? entry a does.